Material: CoOsPb2O6
Method: DFT, PBE+U
State: relaxed

Lattice parameters (Å, degrees): 5.586 5.586 5.586 60.90 60.90 60.90
Element x y z (fractional)
Co  0.000  0.000  0.000
Os  0.500  0.500  0.500
Pb  0.252  0.252  0.252
Pb  0.748  0.748  0.748
O  0.197  0.737  0.321
O  0.263  0.679  0.803
O  0.321  0.197  0.737
O  0.679  0.803  0.263
O  0.737  0.321  0.197
O  0.803  0.263  0.679

Calculated values
As for the energy: -6.384 eV/atom.